VASP calculation (GGA-PBE) on an optimized crystal structure of InPSeO2.

Its formation energy (no corrections) is 0.1605 eV per atom. For the total DFT energy (no corrections), the calculation gives -20.7 eV per cell. The energy relative to the lowest polymorph listed for this composition comes out at 269 meV per atom. The value obtained for the density is 3.88 g/cm³.

It has space group P4/mmm (No. 123), with a = 3.936 Å, b = 3.936 Å, c = 7.100 Å, α = 90.00°, β = 90.00° and γ = 90.00°. The asymmetric unit holds In at (0.000, 0.000, 0.000), P at (0.000, 0.000, 0.500), Se at (0.500, 0.500, 0.500) and O at (0.000, 0.500, 0.000).